PrCoSi | PBEsol | relaxed

Geometry as CIF:
```
data_PrCoSi
_symmetry_space_group_name_H-M 'P 4/n m m'
_symmetry_Int_Tables_number 129
_cell_length_a 3.970
_cell_length_b 3.970
_cell_length_c 7.077
_cell_angle_alpha 90.00
_cell_angle_beta 90.00
_cell_angle_gamma 90.00
loop_
_symmetry_equiv_pos_as_xyz
'x,y,z'
'-x,-y,-z'
'-y+1/2,x,z'
'y+1/2,-x,-z'
'-x+1/2,-y+1/2,z'
'x+1/2,y+1/2,-z'
'y,-x+1/2,z'
'-y,x+1/2,-z'
'x+1/2,-y,-z'
'-x+1/2,y,z'
'-y,-x,-z'
'y,x,z'
'-x,y+1/2,-z'
'x,-y+1/2,z'
'y+1/2,x+1/2,-z'
'-y+1/2,-x+1/2,z'
loop_
_atom_site_label
_atom_site_type_symbol
_atom_site_fract_x
_atom_site_fract_y
_atom_site_fract_z
Pr1 Pr 0.250 0.250 0.184
Co1 Co 0.250 0.750 0.500
Si1 Si 0.250 0.250 0.665
```

- electronic total energy (eV per atom) = -6.9406